CaPmTl4: relaxed, PBE.

Summary:
For the formation energy, the calculation gives -73 kJ/mol of formula units. The value obtained for the relative energy among the computed polymorphs is 13.1 kJ/mol of atoms. Its theoretical density is 9.4 g cm⁻³.

Unit cell a=8.9187 b=8.9187 c=8.9187 alpha=90.00 beta=90.00 gamma=90.00
Closest atoms and distances in Å follow each position.
Space group F-43m (No. 216)
One atom of each set of equivalent atoms:
Ca (0.0000, 0.0000, 0.0000)  12 Tl 3.70, 4 Pm 3.86
Pm (0.2500, 0.2500, 0.7500)  12 Tl 3.70, 4 Ca 3.86
Tl (0.1246, 0.1246, 0.3754)  6 Tl 3.14-3.16